Entry A
Below is B4PdPt after structural relaxation, with properties calculated at the PBE level.

Lattice parameters (Å, degrees): 3.0444 3.0444 7.2465 90.00 90.00 120.00
Last column: nearest neighbours and their distance in Å.
Space group P6/mmm (No. 191)
Symmetry-distinct sites (fractional):
1 B 0.3333 0.6667 0.2471 [4 per cell]  3 B 1.76
2 Pd 0.0000 0.0000 0.5000 [1 per cell]  12 B 2.54
3 Pt 0.0000 0.0000 0.0000 [1 per cell]  12 B 2.51

***

Entry B
Below is B4PdPt after structural relaxation, with properties calculated at the PBE level.

Lattice parameters (Å, degrees): 2.7483 5.6860 7.4530 90.00 90.00 90.00
Last column: nearest neighbours and their distance in Å.
Space group Immm (No. 71)
Symmetry-distinct sites (fractional):
1 B 0.0000 0.1503 0.2499 [8 per cell]  3 B 1.71-1.78
2 Pd 0.0000 0.5000 0.0000 [2 per cell]  12 B 2.47-2.72, 2 Pd 2.75
3 Pt 0.0000 0.5000 0.5000 [2 per cell]  12 B 2.47-2.73, 2 Pt 2.75

***

Referenced to the most stable arrangement, the calculated values in meV/atom are entry A 25; entry B 0.

***

Entry A
Below is PuBPd after structural relaxation, with properties calculated at the PBE level.

Lattice parameters (Å, degrees): 6.1821 6.1821 6.1821 90.00 90.00 90.00
Last column: nearest neighbours and their distance in Å.
Space group F-43m (No. 216)
Symmetry-distinct sites (fractional):
1 Pu 0.0000 0.0000 0.0000 [4 per cell]  4 Pd 2.68
2 B 0.0000 0.0000 0.5000 [4 per cell]  4 Pd 2.68
3 Pd 0.2500 0.2500 0.7500 [4 per cell]  4 B 2.68, 4 Pu 2.68

***

Entry B
Below is PuBPd after structural relaxation, with properties calculated at the PBE level.

Lattice parameters (Å, degrees): 6.0838 6.0838 6.0838 90.00 90.00 90.00
Last column: nearest neighbours and their distance in Å.
Space group F-43m (No. 216)
Symmetry-distinct sites (fractional):
1 Pu 0.0000 0.0000 0.0000 [4 per cell]  4 B 2.63, 4 Pd 2.63
2 B 0.2500 0.2500 0.7500 [4 per cell]  4 Pu 2.63
3 Pd 0.2500 0.2500 0.2500 [4 per cell]  4 Pu 2.63

***

Referenced to the most stable arrangement, the calculated values in meV/atom are entry A 0; entry B 326.

***

Entry A
Below is RbBPd after structural relaxation, with properties calculated at the PBE level.

Lattice parameters (Å, degrees): 6.9460 6.9460 6.9460 90.00 90.00 90.00
Last column: nearest neighbours and their distance in Å.
Space group F-43m (No. 216)
Symmetry-distinct sites (fractional):
1 Rb 0.0000 0.0000 0.0000 [4 per cell]  4 B 3.01, 4 Pd 3.01
2 B 0.2500 0.2500 0.7500 [4 per cell]  4 Rb 3.01
3 Pd 0.2500 0.2500 0.2500 [4 per cell]  4 Rb 3.01

***

Entry B
Below is RbBPd after structural relaxation, with properties calculated at the PBE level.

Lattice parameters (Å, degrees): 6.5146 6.5146 6.5146 90.00 90.00 90.00
Last column: nearest neighbours and their distance in Å.
Space group F-43m (No. 216)
Symmetry-distinct sites (fractional):
1 Rb 0.0000 0.0000 0.0000 [4 per cell]  4 B 2.82
2 B 0.2500 0.2500 0.7500 [4 per cell]  4 Rb 2.82, 4 Pd 2.82
3 Pd 0.0000 0.0000 0.5000 [4 per cell]  4 B 2.82

***

Referenced to the most stable arrangement, the calculated values in meV/atom are entry A 604; entry B 0.

***

Entry A
Below is ReB4Pd after structural relaxation, with properties calculated at the PBE level.

Lattice parameters (Å, degrees): 2.9708 2.9708 7.2463 90.00 90.00 120.00
Last column: nearest neighbours and their distance in Å.
Space group P6/mmm (No. 191)
Symmetry-distinct sites (fractional):
1 Re 0.0000 0.0000 0.0000 [1 per cell]  12 B 2.40
2 B 0.3333 0.6667 0.2319 [4 per cell]  3 B 1.72
3 Pd 0.0000 0.0000 0.5000 [1 per cell]  12 B 2.59

***

Entry B
Below is ReB4Pd after structural relaxation, with properties calculated at the PBE level.

Lattice parameters (Å, degrees): 2.9814 5.4020 6.7255 90.00 90.00 90.00
Last column: nearest neighbours and their distance in Å.
Space group Immm (No. 71)
Symmetry-distinct sites (fractional):
1 Re 0.0000 0.0000 0.0000 [2 per cell]  12 B 2.41-2.48
2 B 0.0000 0.3347 0.2528 [8 per cell]  3 B 1.75-1.79
3 Pd 0.0000 0.0000 0.5000 [2 per cell]  12 B 2.43-2.46

***

Referenced to the most stable arrangement, the calculated values in meV/atom are entry A 0; entry B 62.

***

Entry A
Below is ScBPd after structural relaxation, with properties calculated at the PBE level.

Lattice parameters (Å, degrees): 5.8083 5.8083 5.8083 90.00 90.00 90.00
Last column: nearest neighbours and their distance in Å.
Space group F-43m (No. 216)
Symmetry-distinct sites (fractional):
1 Sc 0.0000 0.0000 0.0000 [4 per cell]  4 Pd 2.52
2 B 0.0000 0.0000 0.5000 [4 per cell]  4 Pd 2.52
3 Pd 0.2500 0.2500 0.7500 [4 per cell]  4 Sc 2.52, 4 B 2.52

***

Entry B
Below is ScBPd after structural relaxation, with properties calculated at the PBE level.

Lattice parameters (Å, degrees): 5.8934 5.8934 5.8934 90.00 90.00 90.00
Last column: nearest neighbours and their distance in Å.
Space group F-43m (No. 216)
Symmetry-distinct sites (fractional):
1 Sc 0.0000 0.0000 0.0000 [4 per cell]  4 B 2.55, 4 Pd 2.55
2 B 0.2500 0.2500 0.7500 [4 per cell]  4 Sc 2.55
3 Pd 0.2500 0.2500 0.2500 [4 per cell]  4 Sc 2.55

***

Referenced to the most stable arrangement, the calculated values in meV/atom are entry A 0; entry B 334.

***

Entry A
Below is ScB4Pd after structural relaxation, with properties calculated at the PBE level.

Lattice parameters (Å, degrees): 3.1035 5.2636 7.1136 90.00 90.00 90.00
Last column: nearest neighbours and their distance in Å.
Space group Immm (No. 71)
Symmetry-distinct sites (fractional):
1 Sc 0.0000 0.0000 0.0000 [2 per cell]  12 B 2.48-2.52
2 B 0.0000 0.3242 0.2602 [8 per cell]  3 B 1.74-1.85
3 Pd 0.0000 0.0000 0.5000 [2 per cell]  12 B 2.41-2.59

***

Entry B
Below is ScB4Pd after structural relaxation, with properties calculated at the PBE level.

Lattice parameters (Å, degrees): 5.8839 11.4078 3.5000 90.00 90.00 90.00
Last column: nearest neighbours and their distance in Å.
Space group Pbam (No. 55)
Symmetry-distinct sites (fractional):
1 Sc 0.1279 0.1490 0.0000 [4 per cell]  14 B 2.56-2.75
2 B 0.0237 0.6954 0.5000 [4 per cell]  3 B 1.70-1.90
3 B 0.1190 0.5509 0.5000 [4 per cell]  3 B 1.74-1.82
4 B 0.1319 0.9692 0.5000 [4 per cell]  3 B 1.70-1.83
5 B 0.2017 0.8128 0.5000 [4 per cell]  3 B 1.70-1.90
6 Pd 0.1399 0.4048 0.0000 [4 per cell]  10 B 2.24-2.42

***

Referenced to the most stable arrangement, the calculated values in meV/atom are entry A 34; entry B 0.

***

Entry A
Below is SiB4Pd after structural relaxation, with properties calculated at the PBE level.

Lattice parameters (Å, degrees): 3.0270 5.3523 6.7811 90.00 90.00 90.00
Last column: nearest neighbours and their distance in Å.
Space group Immm (No. 71)
Symmetry-distinct sites (fractional):
1 Si 0.0000 0.0000 0.0000 [2 per cell]  12 B 2.42-2.48
2 B 0.0000 0.3333 0.2537 [8 per cell]  3 B 1.76-1.78
3 Pd 0.0000 0.0000 0.5000 [2 per cell]  12 B 2.44-2.46

***

Entry B
Below is SiB4Pd after structural relaxation, with properties calculated at the PBE level.

Lattice parameters (Å, degrees): 3.0123 3.0123 6.7992 90.00 90.00 120.00
Last column: nearest neighbours and their distance in Å.
Space group P6/mmm (No. 191)
Symmetry-distinct sites (fractional):
1 Si 0.0000 0.0000 0.0000 [1 per cell]  12 B 2.35
2 B 0.3333 0.6667 0.2328 [4 per cell]  3 B 1.74
3 Pd 0.0000 0.0000 0.5000 [1 per cell]  12 B 2.51

***

Referenced to the most stable arrangement, the calculated values in meV/atom are entry A 96; entry B 0.

***

Entry A
Below is SnB4Pd after structural relaxation, with properties calculated at the PBE level.

Lattice parameters (Å, degrees): 3.0810 5.3686 7.8104 90.00 90.00 90.00
Last column: nearest neighbours and their distance in Å.
Space group Immm (No. 71)
Symmetry-distinct sites (fractional):
1 Sn 0.0000 0.0000 0.0000 [2 per cell]  12 B 2.64-2.66
2 B 0.0000 0.3345 0.2474 [8 per cell]  3 B 1.78-1.79
3 Pd 0.0000 0.0000 0.5000 [2 per cell]  12 B 2.63-2.67

***

Entry B
Below is SnB4Pd after structural relaxation, with properties calculated at the PBE level.

Lattice parameters (Å, degrees): 3.1529 3.1529 7.3352 90.00 90.00 120.00
Last column: nearest neighbours and their distance in Å.
Space group P6/mmm (No. 191)
Symmetry-distinct sites (fractional):
1 Sn 0.0000 0.0000 0.0000 [1 per cell]  12 B 2.68
2 B 0.3333 0.6667 0.2676 [4 per cell]  3 B 1.82
3 Pd 0.0000 0.0000 0.5000 [1 per cell]  12 B 2.49

***

Referenced to the most stable arrangement, the calculated values in meV/atom are entry A 18; entry B 0.

***

Entry A
Below is TbB4Pd after structural relaxation, with properties calculated at the PBE level.

Lattice parameters (Å, degrees): 3.2214 3.2214 6.9761 90.00 90.00 120.00
Last column: nearest neighbours and their distance in Å.
Space group P6/mmm (No. 191)
Symmetry-distinct sites (fractional):
1 Tb 0.0000 0.0000 0.0000 [1 per cell]  12 B 2.65
2 B 0.3333 0.6667 0.2703 [4 per cell]  3 B 1.86
3 Pd 0.0000 0.0000 0.5000 [1 per cell]  12 B 2.45

***

Entry B
Below is TbB4Pd after structural relaxation, with properties calculated at the PBE level.

Lattice parameters (Å, degrees): 3.1584 5.3342 7.7359 90.00 90.00 90.00
Last column: nearest neighbours and their distance in Å.
Space group Immm (No. 71)
Symmetry-distinct sites (fractional):
1 Tb 0.0000 0.0000 0.0000 [2 per cell]  12 B 2.63-2.64
2 B 0.0000 0.3243 0.2571 [8 per cell]  3 B 1.77-1.87
3 Pd 0.0000 0.0000 0.5000 [2 per cell]  12 B 2.55-2.71

***

Referenced to the most stable arrangement, the calculated values in meV/atom are entry A 19; entry B 0.

***

Entry A
Below is TbBPd after structural relaxation, with properties calculated at the PBE level.

Lattice parameters (Å, degrees): 5.9409 5.9409 5.9409 90.00 90.00 90.00
Last column: nearest neighbours and their distance in Å.
Space group F-43m (No. 216)
Symmetry-distinct sites (fractional):
1 Tb 0.0000 0.0000 0.0000 [4 per cell]  4 B 2.57
2 B 0.2500 0.2500 0.7500 [4 per cell]  4 Tb 2.57, 4 Pd 2.57
3 Pd 0.0000 0.0000 0.5000 [4 per cell]  4 B 2.57

***

Entry B
Below is TbBPd after structural relaxation, with properties calculated at the PBE level.

Lattice parameters (Å, degrees): 6.1274 6.1274 6.1274 90.00 90.00 90.00
Last column: nearest neighbours and their distance in Å.
Space group F-43m (No. 216)
Symmetry-distinct sites (fractional):
1 Tb 0.0000 0.0000 0.0000 [4 per cell]  4 Pd 2.65
2 B 0.0000 0.0000 0.5000 [4 per cell]  4 Pd 2.65
3 Pd 0.2500 0.2500 0.7500 [4 per cell]  4 Tb 2.65, 4 B 2.65

***

Referenced to the most stable arrangement, the calculated values in meV/atom are entry A 0; entry B 369.

***

Entry A
Below is TcB4Pd after structural relaxation, with properties calculated at the PBE level.

Lattice parameters (Å, degrees): 2.9922 2.9922 7.0481 90.00 90.00 120.00
Last column: nearest neighbours and their distance in Å.
Space group P6/mmm (No. 191)
Symmetry-distinct sites (fractional):
1 Tc 0.0000 0.0000 0.0000 [1 per cell]  12 B 2.39
2 B 0.3333 0.6667 0.2350 [4 per cell]  3 B 1.73
3 Pd 0.0000 0.0000 0.5000 [1 per cell]  12 B 2.54

***

Entry B
Below is TcB4Pd after structural relaxation, with properties calculated at the PBE level.

Lattice parameters (Å, degrees): 2.9935 5.3832 6.7019 90.00 90.00 90.00
Last column: nearest neighbours and their distance in Å.
Space group Immm (No. 71)
Symmetry-distinct sites (fractional):
1 Tc 0.0000 0.0000 0.0000 [2 per cell]  12 B 2.40-2.48
2 B 0.0000 0.3335 0.2542 [8 per cell]  3 B 1.75-1.79
3 Pd 0.0000 0.0000 0.5000 [2 per cell]  12 B 2.44

***

Referenced to the most stable arrangement, the calculated values in meV/atom are entry A 0; entry B 27.

***

Entry A
Below is ThBPd after structural relaxation, with properties calculated at the PBE level.

Lattice parameters (Å, degrees): 6.3216 6.3216 6.3216 90.00 90.00 90.00
Last column: nearest neighbours and their distance in Å.
Space group F-43m (No. 216)
Symmetry-distinct sites (fractional):
1 Th 0.0000 0.0000 0.0000 [4 per cell]  4 Pd 2.74
2 B 0.0000 0.0000 0.5000 [4 per cell]  4 Pd 2.74
3 Pd 0.2500 0.2500 0.7500 [4 per cell]  4 Th 2.74, 4 B 2.74

***

Entry B
Below is ThBPd after structural relaxation, with properties calculated at the PBE level.

Lattice parameters (Å, degrees): 6.1271 6.1271 6.1271 90.00 90.00 90.00
Last column: nearest neighbours and their distance in Å.
Space group F-43m (No. 216)
Symmetry-distinct sites (fractional):
1 Th 0.0000 0.0000 0.0000 [4 per cell]  4 B 2.65
2 B 0.2500 0.2500 0.7500 [4 per cell]  4 Th 2.65, 4 Pd 2.65
3 Pd 0.0000 0.0000 0.5000 [4 per cell]  4 B 2.65

***

Referenced to the most stable arrangement, the calculated values in meV/atom are entry A 407; entry B 0.

***

Entry A
Below is TmB4Pd after structural relaxation, with properties calculated at the PBE level.

Lattice parameters (Å, degrees): 3.1985 3.1985 6.8714 90.00 90.00 120.00
Last column: nearest neighbours and their distance in Å.
Space group P6/mmm (No. 191)
Symmetry-distinct sites (fractional):
1 Tm 0.0000 0.0000 0.0000 [1 per cell]  12 B 2.59
2 B 0.3333 0.6667 0.2637 [4 per cell]  3 B 1.85
3 Pd 0.0000 0.0000 0.5000 [1 per cell]  12 B 2.46

***

Entry B
Below is TmB4Pd after structural relaxation, with properties calculated at the PBE level.

Lattice parameters (Å, degrees): 3.1530 5.3216 7.4963 90.00 90.00 90.00
Last column: nearest neighbours and their distance in Å.
Space group Immm (No. 71)
Symmetry-distinct sites (fractional):
1 Tm 0.0000 0.0000 0.0000 [2 per cell]  12 B 2.58-2.59
2 B 0.0000 0.3242 0.2584 [8 per cell]  3 B 1.77-1.87
3 Pd 0.0000 0.0000 0.5000 [2 per cell]  12 B 2.50-2.67

***

Referenced to the most stable arrangement, the calculated values in meV/atom are entry A 25; entry B 0.

***

Entry A
Below is YBPd after structural relaxation, with properties calculated at the PBE level.

Lattice parameters (Å, degrees): 5.9292 5.9292 5.9292 90.00 90.00 90.00
Last column: nearest neighbours and their distance in Å.
Space group F-43m (No. 216)
Symmetry-distinct sites (fractional):
1 Y 0.0000 0.0000 0.0000 [4 per cell]  4 B 2.57
2 B 0.2500 0.2500 0.7500 [4 per cell]  4 Pd 2.57, 4 Y 2.57
3 Pd 0.0000 0.0000 0.5000 [4 per cell]  4 B 2.57

***

Entry B
Below is YBPd after structural relaxation, with properties calculated at the PBE level.

Lattice parameters (Å, degrees): 6.2702 6.2702 6.2702 90.00 90.00 90.00
Last column: nearest neighbours and their distance in Å.
Space group F-43m (No. 216)
Symmetry-distinct sites (fractional):
1 Y 0.0000 0.0000 0.0000 [4 per cell]  4 B 2.72, 4 Pd 2.72
2 B 0.2500 0.2500 0.7500 [4 per cell]  4 Y 2.72
3 Pd 0.2500 0.2500 0.2500 [4 per cell]  4 Y 2.72

***

Referenced to the most stable arrangement, the calculated values in meV/atom are entry A 0; entry B 752.